This record from Alexandria via LeMat-Bulk describes a relaxed Sr2NbTc crystal. The functional is PBE. Values from VASP.

Geometry as Quantum ESPRESSO input:
```
&SYSTEM
  ibrav = 0, nat = 8, ntyp = 3
/
ATOMIC_SPECIES
Sr 87.62 Sr.upf
Nb 92.91 Nb.upf
Tc 98.00 Tc.upf
CELL_PARAMETERS angstrom
-5.918 5.918 2.319
5.918 -5.918 2.319
5.918 5.918 -2.319
ATOMIC_POSITIONS angstrom
Sr 0.964 2.959 0.580
Sr -2.959 4.954 1.739
Sr -0.964 8.876 0.580
Sr 2.959 6.881 1.739
Nb 5.918 0.000 1.160
Nb 0.000 0.000 2.319
Tc 0.000 0.000 0.000
Tc 0.000 5.918 1.160
```

Properties
SG = I-42d (122)
Total moment = 1.16 Bohr magnetons per cell
Energy of formation = 0.919 eV per atom

***

This record from Alexandria via LeMat-Bulk describes a relaxed SrNbTc3 crystal. The functional is PBE. Values from VASP.

Geometry as Quantum ESPRESSO input:
```
&SYSTEM
  ibrav = 0, nat = 5, ntyp = 3
/
ATOMIC_SPECIES
Sr 87.62 Sr.upf
Nb 92.91 Nb.upf
Tc 98.00 Tc.upf
CELL_PARAMETERS angstrom
4.871 0.000 0.000
0.000 4.871 0.000
0.000 0.000 4.871
ATOMIC_POSITIONS angstrom
Sr 0.000 0.000 0.000
Nb 2.436 2.436 2.436
Tc 0.000 2.436 2.436
Tc 2.436 0.000 2.436
Tc 2.436 2.436 0.000
```

Properties
SG = Pm-3m (221)
Total moment = 3.00 Bohr magnetons per cell
Energy of formation = 1.231 eV per atom

***

This record from Alexandria via LeMat-Bulk describes a relaxed SrNb2Tc crystal. The functional is PBE. Values from VASP.

Geometry as Quantum ESPRESSO input:
```
&SYSTEM
  ibrav = 0, nat = 4, ntyp = 3
/
ATOMIC_SPECIES
Sr 87.62 Sr.upf
Nb 92.91 Nb.upf
Tc 98.00 Tc.upf
CELL_PARAMETERS angstrom
0.000 3.390 3.390
3.390 0.000 3.390
3.390 3.390 0.000
ATOMIC_POSITIONS angstrom
Sr 0.000 0.000 0.000
Nb 1.695 1.695 1.695
Nb 5.085 5.085 5.085
Tc 3.390 3.390 3.390
```

Properties
SG = Fm-3m (225)
Total moment = 0.00 Bohr magnetons per cell
Energy of formation = 0.780 eV per atom

***

This record from Alexandria via LeMat-Bulk describes a relaxed SrNbTc2 crystal. The functional is PBE. Values from VASP.

Geometry as Quantum ESPRESSO input:
```
&SYSTEM
  ibrav = 0, nat = 8, ntyp = 3
/
ATOMIC_SPECIES
Sr 87.62 Sr.upf
Nb 92.91 Nb.upf
Tc 98.00 Tc.upf
CELL_PARAMETERS angstrom
-2.463 2.463 8.777
2.463 -2.463 8.777
2.463 2.463 -8.777
ATOMIC_POSITIONS angstrom
Sr 2.463 1.231 2.194
Sr 0.000 1.231 6.583
Nb 2.463 -1.231 6.583
Nb 0.000 3.694 2.194
Tc 0.000 0.000 0.000
Tc 1.231 1.231 -4.388
Tc 1.231 -1.231 4.388
Tc 0.000 2.463 0.000
```

Properties
SG = I4_1/amd (141)
Total moment = 0.00 Bohr magnetons per cell
Energy of formation = 0.980 eV per atom

***

This record from Alexandria via LeMat-Bulk describes a relaxed Sr2NbTc crystal. The functional is PBE. Values from VASP.

Geometry as Quantum ESPRESSO input:
```
&SYSTEM
  ibrav = 0, nat = 4, ntyp = 3
/
ATOMIC_SPECIES
Sr 87.62 Sr.upf
Nb 92.91 Nb.upf
Tc 98.00 Tc.upf
CELL_PARAMETERS angstrom
0.000 3.790 3.790
3.790 0.000 3.790
3.790 3.790 0.000
ATOMIC_POSITIONS angstrom
Sr 1.895 1.895 1.895
Sr 5.684 5.684 5.684
Nb 0.000 0.000 0.000
Tc 3.790 3.790 3.790
```

Properties
SG = Fm-3m (225)
Total moment = 4.27 Bohr magnetons per cell
Energy of formation = 1.379 eV per atom

***

This record from Alexandria via LeMat-Bulk describes a relaxed SrNb2Tc crystal. The functional is PBE. Values from VASP.

Geometry as Quantum ESPRESSO input:
```
&SYSTEM
  ibrav = 0, nat = 8, ntyp = 3
/
ATOMIC_SPECIES
Sr 87.62 Sr.upf
Nb 92.91 Nb.upf
Tc 98.00 Tc.upf
CELL_PARAMETERS angstrom
-2.561 2.561 8.782
2.561 -2.561 8.782
2.561 2.561 -8.782
ATOMIC_POSITIONS angstrom
Sr 2.561 1.281 2.196
Sr 0.000 1.281 6.587
Nb 0.000 0.000 0.000
Nb 1.281 1.281 -4.391
Nb 1.281 -1.281 4.391
Nb 0.000 2.561 0.000
Tc 2.561 -1.281 6.587
Tc 0.000 3.842 2.196
```

Properties
SG = I4_1/amd (141)
Total moment = 0.00 Bohr magnetons per cell
Energy of formation = 1.130 eV per atom

***

This record from Alexandria via LeMat-Bulk describes a relaxed SrNbTlTc2 crystal. The functional is PBE. Values from VASP.

Geometry as Quantum ESPRESSO input:
```
&SYSTEM
  ibrav = 0, nat = 5, ntyp = 4
/
ATOMIC_SPECIES
Sr 87.62 Sr.upf
Nb 92.91 Nb.upf
Tl 204.38 Tl.upf
Tc 98.00 Tc.upf
CELL_PARAMETERS angstrom
5.034 0.000 0.000
0.000 5.034 0.000
0.000 0.000 5.365
ATOMIC_POSITIONS angstrom
Sr 0.000 0.000 0.000
Nb 2.517 2.517 0.000
Tl 0.000 0.000 2.682
Tc 0.000 2.517 2.682
Tc 2.517 0.000 2.682
```

Properties
SG = P4/mmm (123)
Total moment = 0.05 Bohr magnetons per cell
Energy of formation = 2.316 eV per atom

***

This record from Alexandria via LeMat-Bulk describes a relaxed SrNbZnTc2 crystal. The functional is PBE. Values from VASP.

Geometry as Quantum ESPRESSO input:
```
&SYSTEM
  ibrav = 0, nat = 5, ntyp = 4
/
ATOMIC_SPECIES
Sr 87.62 Sr.upf
Nb 92.91 Nb.upf
Zn 65.41 Zn.upf
Tc 98.00 Tc.upf
CELL_PARAMETERS angstrom
4.791 0.000 0.000
0.000 4.791 0.000
0.000 0.000 5.247
ATOMIC_POSITIONS angstrom
Sr 0.000 0.000 0.000
Nb 2.396 2.396 2.623
Zn 2.396 2.396 0.000
Tc 0.000 2.396 2.623
Tc 2.396 0.000 2.623
```

Properties
SG = P4/mmm (123)
Total moment = 1.91 Bohr magnetons per cell
Energy of formation = 0.907 eV per atom